No. 1
An optimized crystal structure of NaAlH2. Source: the Alexandria database, functional GGA-PBE.

Cell: 5.3287 5.3287 5.2977 Å, 91.17 91.17 119.64°
Atoms (fractional coordinates):
Na 0.0000 0.0000 0.0000
Na 0.6614 0.3386 0.5000
Al 0.3049 0.6166 0.2487
Al 0.3834 0.6951 0.7513
H 0.0838 0.7254 0.7348
H 0.2746 0.9162 0.2652
H 0.6503 0.0380 0.7729
H 0.9620 0.3497 0.2271

Calculated values
- energy above the lowest structure with this stoichiometry (meV/atom) = 78
- V (Å³/f.u.) = 65.3



No. 2
An optimized crystal structure of NaAlH2. Source: the Alexandria database, functional GGA-PBE.

Cell: 4.3021 5.6109 5.7595 Å, 104.82 91.42 111.90°
Atoms (fractional coordinates):
Na 0.0000 0.0000 0.0000
Na 0.4889 0.0215 0.4816
Al 0.2502 0.4955 0.5917
Al 0.7261 0.5424 0.3005
H 0.1551 0.2553 0.7329
H 0.4003 0.7920 0.8025
H 0.6169 0.2170 0.1485
H 0.8294 0.4716 0.5748

Calculated values
- energy above the lowest structure with this stoichiometry (meV/atom) = 91
- V (Å³/f.u.) = 61.8



No. 3
An optimized crystal structure of NaAlH2. Source: the Alexandria database, functional GGA-PBE.

Cell: 4.5245 4.8838 6.2022 Å, 68.05 89.78 89.46°
Atoms (fractional coordinates):
Na 0.2461 0.3807 0.2674
Na 0.7539 0.6193 0.7326
Al 0.2505 0.0142 0.8897
Al 0.7495 0.9858 0.1103
H 0.2471 0.2935 0.6366
H 0.2532 0.7165 0.8138
H 0.7468 0.2835 0.1862
H 0.7529 0.7065 0.3634

Calculated values
- energy above the lowest structure with this stoichiometry (meV/atom) = 6
- V (Å³/f.u.) = 63.6



No. 4
An optimized crystal structure of NaAl3H. Source: the Alexandria database, functional GGA-PBE.

Cell: 5.3212 5.3212 5.3212 Å, 90.00 90.00 90.00°
Atoms (fractional coordinates):
Na 0.0000 0.0000 0.0000
Al 0.0000 0.0000 0.5000
Al 0.0000 0.5000 0.0000
Al 0.5000 0.0000 0.0000
H 0.5000 0.5000 0.5000

Calculated values
- energy above the lowest structure with this stoichiometry (meV/atom) = 1204
- V (Å³/f.u.) = 150.7



No. 5
An optimized crystal structure of NaAlH3. Source: the Alexandria database, functional GGA-PBE.

Cell: 5.8873 2.9935 6.2832 Å, 90.00 95.88 90.00°
Atoms (fractional coordinates):
Na 0.1540 0.2500 0.2273
Na 0.8460 0.7500 0.7727
Al 0.3327 0.2500 0.6954
Al 0.6673 0.7500 0.3046
H 0.1227 0.2500 0.8654
H 0.1913 0.7500 0.5518
H 0.4709 0.7500 0.8212
H 0.5291 0.2500 0.1788
H 0.8087 0.2500 0.4482
H 0.8773 0.7500 0.1346

Calculated values
- energy above the lowest structure with this stoichiometry (meV/atom) = 161
- V (Å³/f.u.) = 55.1



No. 6
An optimized crystal structure of NaAlH2. Source: the Alexandria database, functional GGA-PBE.

Cell: 6.5286 6.5286 6.5286 Å, 139.36 139.36 58.83°
Atoms (fractional coordinates):
Na 0.0000 0.0000 0.0000
Na 0.7500 0.2500 0.5000
Al 0.2500 0.7500 0.5000
Al 0.5000 0.5000 0.0000
H 0.3667 0.6250 0.2417
H 0.3750 0.6167 0.7417
H 0.3833 0.1250 0.7583
H 0.8750 0.6333 0.2583

Calculated values
- energy above the lowest structure with this stoichiometry (meV/atom) = 307
- V (Å³/f.u.) = 58.5



The highest energy above the lowest structure with this stoichiometry belongs to which entry? NaAl3H



What did the fourth record say?
An optimized crystal structure of NaAl3H. Source: the Alexandria database, functional GGA-PBE.

Cell: 5.3212 5.3212 5.3212 Å, 90.00 90.00 90.00°
Atoms (fractional coordinates):
Na 0.0000 0.0000 0.0000
Al 0.0000 0.0000 0.5000
Al 0.0000 0.5000 0.0000
Al 0.5000 0.0000 0.0000
H 0.5000 0.5000 0.5000

Calculated values
- energy above the lowest structure with this stoichiometry (meV/atom) = 1204
- V (Å³/f.u.) = 150.7



energy above the lowest structure with this stoichiometry of number 3 (NaAlH2)? 6 meV/atom